Below is a relaxed structure of LaTlPt2, with properties calculated at the PBE-GGA level.

Geometry as POSCAR:
```
LaTlPt2
1.0
4.073 0.000 0.000
0.000 4.073 0.000
0.000 0.000 5.785
La Tl Pt
1 1 2
Direct
0.000 0.000 0.000 La
0.500 0.500 0.609 Tl
0.000 0.000 0.509 Pt
0.500 0.500 0.126 Pt
```

Output
E_tot: -5.41 eV/atom
V: 96 Å³/cell
DOS at the Fermi energy: 1.81 states/eV/f.u.

=====

Below is a relaxed structure of La4MgCl, with properties calculated at the PBE-GGA level.

Geometry as POSCAR:
```
La4MgCl
1.0
0.000 4.690 4.690
4.690 0.000 4.690
4.690 4.690 0.000
La Mg Cl
4 1 1
Direct
0.121 0.121 0.121 La
0.121 0.121 0.637 La
0.121 0.637 0.121 La
0.637 0.121 0.121 La
0.750 0.750 0.750 Mg
0.500 0.500 0.500 Cl
```

Output
Formation energy without anion corrections: 3.30 kcal/mol of atoms
E_tot: -3.72 eV/atom
V: 206 Å³/cell
DOS at the Fermi energy: 9.65 states/eV/f.u.

=====

Below is a relaxed structure of LaDyYTm, with properties calculated at the PBE-GGA level.

Geometry as POSCAR:
```
LaDyYTm
1.0
3.595 0.000 0.000
-1.797 3.113 0.000
0.000 0.000 35.083
La Dy Y Tm
3 3 3 3
Direct
0.000 0.000 0.000 La
0.333 0.667 0.667 La
0.667 0.333 0.333 La
0.000 0.000 0.752 Dy
0.333 0.667 0.419 Dy
0.667 0.333 0.086 Dy
0.000 0.000 0.579 Y
0.333 0.667 0.246 Y
0.667 0.333 0.913 Y
0.000 0.000 0.165 Tm
0.333 0.667 0.832 Tm
0.667 0.333 0.498 Tm
```

Output
Energy above the most stable polymorph in this dataset: 0.00 eV/f.u.
E_tot: -5.09 eV/atom
V: 393 Å³/cell
DOS at the Fermi energy: 5.87 states/eV/f.u.

=====

Below is a relaxed structure of PrH6IrPd2, with properties calculated at the PBE-GGA level.

Geometry as POSCAR:
```
PrH6IrPd2
1.0
4.737 0.000 0.000
0.000 8.859 0.000
0.000 0.000 4.708
Pr H Ir Pd
2 12 2 4
Direct
0.000 0.000 0.000 Pr
0.500 0.500 0.500 Pr
0.124 0.363 0.240 H
0.124 0.363 0.760 H
0.177 0.086 0.500 H
0.323 0.586 0.000 H
0.376 0.863 0.260 H
0.376 0.863 0.740 H
0.624 0.137 0.260 H
0.624 0.137 0.740 H
0.677 0.414 0.000 H
0.823 0.914 0.500 H
0.876 0.637 0.240 H
0.876 0.637 0.760 H
0.000 0.500 0.000 Ir
0.500 0.000 0.500 Ir
0.073 0.750 0.500 Pd
0.427 0.250 0.000 Pd
0.573 0.750 0.000 Pd
0.927 0.250 0.500 Pd
```

Output
E_tot: -4.74 eV/atom
V: 198 Å³/cell
DOS at the Fermi energy: 0.67 states/eV/f.u.

=====

Below is a relaxed structure of Be3Ru, with properties calculated at the PBE-GGA level.

Geometry as POSCAR:
```
Be3Ru
1.0
3.177 0.000 0.000
0.000 3.177 0.000
0.000 0.000 7.505
Be Ru
6 2
Direct
0.000 0.000 0.000 Be
0.000 0.500 0.250 Be
0.000 0.500 0.750 Be
0.500 0.000 0.250 Be
0.500 0.000 0.750 Be
0.500 0.500 0.500 Be
0.000 0.000 0.500 Ru
0.500 0.500 0.000 Ru
```

Output
E_tot: -5.46 eV/atom
V: 76 Å³/cell
DOS at the Fermi energy: 0.41 states/eV/f.u.

=====

Below is a relaxed structure of Sc2RuPb2, with properties calculated at the PBE-GGA level.

Geometry as POSCAR:
```
Sc2RuPb2
1.0
7.201 0.000 0.000
0.000 7.201 0.000
0.000 0.000 4.303
Sc Ru Pb
4 2 4
Direct
0.165 0.335 0.000 Sc
0.335 0.835 0.000 Sc
0.665 0.165 0.000 Sc
0.835 0.665 0.000 Sc
0.000 0.000 0.500 Ru
0.500 0.500 0.500 Ru
0.146 0.646 0.500 Pb
0.354 0.146 0.500 Pb
0.646 0.854 0.500 Pb
0.854 0.354 0.500 Pb
```

Output
E_tot: -5.99 eV/atom
V: 223 Å³/cell
DOS at the Fermi energy: 3.49 states/eV/f.u.

=====

Below is a relaxed structure of Pm3TcN4, with properties calculated at the PBE-GGA level.

Geometry as POSCAR:
```
Pm3TcN4
1.0
7.771 0.000 0.000
0.000 6.843 0.000
0.000 0.000 5.189
Pm Tc N
6 2 8
Direct
0.000 0.139 0.000 Pm
0.246 0.331 0.500 Pm
0.254 0.669 0.000 Pm
0.500 0.861 0.500 Pm
0.746 0.669 0.000 Pm
0.754 0.331 0.500 Pm
0.000 0.822 0.471 Tc
0.500 0.178 0.971 Tc
0.000 0.109 0.493 N
0.000 0.813 0.067 N
0.229 0.689 0.493 N
0.271 0.311 0.993 N
0.500 0.187 0.567 N
0.500 0.891 0.993 N
0.729 0.311 0.993 N
0.771 0.689 0.493 N
```

Output
Formation energy without anion corrections: -20.21 kcal/mol of atoms
E_tot: -8.12 eV/atom
V: 276 Å³/cell
DOS at the Fermi energy: 4.64 states/eV/f.u.

=====

Below is a relaxed structure of RuS2N, with properties calculated at the PBE-GGA level.

Geometry as POSCAR:
```
RuS2N
1.0
3.590 0.000 0.000
-1.795 3.109 0.000
0.000 0.000 16.473
Ru S N
3 6 3
Direct
0.000 0.000 0.000 Ru
0.333 0.667 0.667 Ru
0.667 0.333 0.333 Ru
0.000 0.000 0.405 S
0.000 0.000 0.595 S
0.333 0.667 0.071 S
0.333 0.667 0.262 S
0.667 0.333 0.738 S
0.667 0.333 0.929 S
0.000 0.000 0.500 N
0.333 0.667 0.167 N
0.667 0.333 0.833 N
```

Output
Formation energy without anion corrections: 6.90 kcal/mol of atoms
E_tot: -6.16 eV/atom
V: 184 Å³/cell
DOS at the Fermi energy: 1.78 states/eV/f.u.

=====

Below is a relaxed structure of RbAg2Sb2Te6, with properties calculated at the PBE-GGA level.

Geometry as POSCAR:
```
RbAg2Sb2Te6
1.0
6.329 0.000 0.000
-2.761 8.473 0.000
-1.241 -3.438 8.529
Rb Ag Sb Te
1 2 2 6
Direct
0.000 0.000 0.000 Rb
0.416 0.011 0.342 Ag
0.584 0.989 0.658 Ag
0.374 0.395 0.748 Sb
0.626 0.605 0.252 Sb
0.072 0.849 0.471 Te
0.374 0.633 0.493 Te
0.470 0.779 0.086 Te
0.530 0.221 0.914 Te
0.626 0.367 0.507 Te
0.928 0.151 0.529 Te
```

Output
Formation energy without anion corrections: -3.30 kcal/mol of atoms
E_tot: -3.21 eV/atom
V: 457 Å³/cell
DOS at the Fermi energy: 1.20 states/eV/f.u.

=====

Below is a relaxed structure of ZrTl2Ag, with properties calculated at the PBE-GGA level.

Geometry as POSCAR:
```
ZrTl2Ag
1.0
7.882 0.000 0.000
0.000 7.882 0.000
0.000 0.000 6.292
Zr Tl Ag
4 8 4
Direct
0.000 0.000 0.000 Zr
0.000 0.500 0.250 Zr
0.500 0.000 0.750 Zr
0.500 0.500 0.500 Zr
0.232 0.750 0.625 Tl
0.250 0.232 0.375 Tl
0.250 0.268 0.875 Tl
0.268 0.750 0.125 Tl
0.732 0.250 0.125 Tl
0.750 0.732 0.875 Tl
0.750 0.768 0.375 Tl
0.768 0.250 0.625 Tl
0.000 0.000 0.500 Ag
0.000 0.500 0.750 Ag
0.500 0.000 0.250 Ag
0.500 0.500 0.000 Ag
```

Output
Energy above the most stable polymorph in this dataset: 0.99 eV/f.u.
E_tot: -3.78 eV/atom
V: 391 Å³/cell
DOS at the Fermi energy: 3.73 states/eV/f.u.

=====

Below is a relaxed structure of B2RhW, with properties calculated at the PBE-GGA level.

Geometry as POSCAR:
```
B2RhW
1.0
5.531 0.000 0.000
0.000 5.531 0.000
0.000 0.000 5.531
B Rh W
8 4 4
Direct
0.250 0.250 0.250 B
0.250 0.250 0.750 B
0.250 0.750 0.250 B
0.250 0.750 0.750 B
0.750 0.250 0.250 B
0.750 0.250 0.750 B
0.750 0.750 0.250 B
0.750 0.750 0.750 B
0.000 0.000 0.000 Rh
0.000 0.500 0.500 Rh
0.500 0.000 0.500 Rh
0.500 0.500 0.000 Rh
0.000 0.000 0.500 W
0.000 0.500 0.000 W
0.500 0.000 0.000 W
0.500 0.500 0.500 W
```

Output
Energy above the most stable polymorph in this dataset: 0.00 eV/f.u.
E_tot: -8.04 eV/atom
V: 169 Å³/cell
DOS at the Fermi energy: 5.41 states/eV/f.u.

=====

Below is a relaxed structure of GdThMgTi, with properties calculated at the PBE-GGA level.

Geometry as POSCAR:
```
GdThMgTi
1.0
7.507 0.000 0.000
0.000 7.507 0.000
0.000 0.000 7.507
Gd Th Mg Ti
4 4 4 4
Direct
0.000 0.000 0.000 Gd
0.000 0.500 0.500 Gd
0.500 0.000 0.500 Gd
0.500 0.500 0.000 Gd
0.000 0.000 0.500 Th
0.000 0.500 0.000 Th
0.500 0.000 0.000 Th
0.500 0.500 0.500 Th
0.250 0.250 0.250 Mg
0.250 0.750 0.750 Mg
0.750 0.250 0.750 Mg
0.750 0.750 0.250 Mg
0.250 0.250 0.750 Ti
0.250 0.750 0.250 Ti
0.750 0.250 0.250 Ti
0.750 0.750 0.750 Ti
```

Output
E_tot: -7.60 eV/atom
V: 423 Å³/cell
DOS at the Fermi energy: 4.58 states/eV/f.u.

=====

Below is a relaxed structure of Be2AlGaC, with properties calculated at the PBE-GGA level.

Geometry as POSCAR:
```
Be2AlGaC
1.0
4.033 0.000 0.000
0.000 4.033 0.000
0.000 0.000 4.957
Be Al Ga C
2 1 1 1
Direct
0.000 0.500 0.000 Be
0.500 0.000 0.000 Be
0.000 0.000 0.500 Al
0.000 0.000 0.000 Ga
0.500 0.500 0.500 C
```

Output
E_tot: -2.91 eV/atom
V: 81 Å³/cell
DOS at the Fermi energy: 2.07 states/eV/f.u.

=====

Below is a relaxed structure of BeP2RhS, with properties calculated at the PBE-GGA level.

Geometry as POSCAR:
```
BeP2RhS
1.0
4.428 0.000 0.000
0.000 4.428 0.000
0.000 0.000 5.107
Be P Rh S
1 2 1 1
Direct
0.000 0.000 0.000 Be
0.000 0.500 0.500 P
0.500 0.000 0.500 P
0.500 0.500 0.500 Rh
0.500 0.500 0.000 S
```

Output
Energy above the most stable polymorph in this dataset: 1.42 eV/f.u.
Formation energy without anion corrections: 21.28 kcal/mol of atoms
E_tot: -4.28 eV/atom
V: 100 Å³/cell
DOS at the Fermi energy: 2.85 states/eV/f.u.

=====

Below is a relaxed structure of KTa4P, with properties calculated at the PBE-GGA level.

Geometry as POSCAR:
```
KTa4P
1.0
0.000 4.008 4.008
4.008 0.000 4.008
4.008 4.008 0.000
K Ta P
1 4 1
Direct
0.000 0.000 0.000 K
0.370 0.370 0.370 Ta
0.370 0.370 0.889 Ta
0.370 0.889 0.370 Ta
0.889 0.370 0.370 Ta
0.750 0.750 0.750 P
```

Output
E_tot: -7.80 eV/atom
V: 129 Å³/cell
DOS at the Fermi energy: 5.46 states/eV/f.u.